[1]
{"formula": "LiBC", "functional": "PBE", "state": "optimized geometry", "cell": [[3.632, 0.000, 0.000], [0.000, 5.650, 0.000], [0.000, 0.000, 7.094]], "species": ["Li", "Li", "Li", "Li", "B", "B", "B", "B", "C", "C", "C", "C"], "frac_coords": [[0.000, 0.000, 0.194], [0.000, 0.000, 0.806], [0.500, 0.500, 0.306], [0.500, 0.500, 0.694], [0.000, 0.249, 0.500], [0.000, 0.751, 0.500], [0.500, 0.251, 0.000], [0.500, 0.749, 0.000], [0.000, 0.000, 0.500], [0.000, 0.500, 0.500], [0.500, 0.000, 0.000], [0.500, 0.500, 0.000]], "sg": "Immm (71)", "e_form_ev_per_atom": -0.02}

[2]
{"formula": "Li4GePd", "functional": "PBE", "state": "optimized geometry", "cell": [[5.124, 0.000, 0.000], [0.000, 4.395, 0.000], [-2.525, 0.000, 7.573]], "species": ["Li", "Li", "Li", "Li", "Li", "Li", "Li", "Li", "Ge", "Ge", "Pd", "Pd"], "frac_coords": [[0.040, 0.250, 0.083], [0.205, 0.250, 0.418], [0.288, 0.750, 0.582], [0.458, 0.750, 0.917], [0.542, 0.250, 0.083], [0.712, 0.250, 0.418], [0.795, 0.750, 0.582], [0.960, 0.750, 0.917], [0.128, 0.250, 0.756], [0.872, 0.750, 0.244], [0.378, 0.750, 0.256], [0.622, 0.250, 0.744]], "polymorph_energy_mev_per_atom": 0, "sg": "P2_1/m (11)", "e_form_ev_per_atom": -0.43}